[1]
Material: KMnBe2Cl8
Method: DFT, PBE
State: relaxed

D(E_F) (states/eV per atom): 0.50

```
data_KMnBe2Cl8
_cell_length_a 5.9502
_cell_length_b 5.9502
_cell_length_c 28.8241
_cell_angle_alpha 90.00
_cell_angle_beta 90.00
_cell_angle_gamma 120.00
_space_group_name_H-M_alt 'R -3'
_space_group_IT_number 148
_space_group_name_Hall '-R 3'
loop_
_atom_site_label
_atom_site_fract_x
_atom_site_fract_y
_atom_site_fract_z
K1 0.0000 0.0000 0.0000
Mn1 0.0000 0.0000 0.5000
Be1 0.0000 0.0000 0.2389
Cl1 0.0000 0.0000 0.3071
Cl2 0.0016 0.6551 0.1170
```

***

[2]
Material: KNaBeCl4
Method: DFT, PBE
State: relaxed

D(E_F) (states/eV per atom): 0.00

```
data_KNaBeCl4
_cell_length_a 6.516
_cell_length_b 6.870
_cell_length_c 8.387
_cell_angle_alpha 90.00
_cell_angle_beta 107.95
_cell_angle_gamma 90.00
_space_group_name_H-M_alt 'P 1 21/m 1'
_space_group_IT_number 11
loop_
_space_group_symop_operation_xyz
'x,y,z'
'-x,-y,-z'
'-x,y+1/2,-z'
'x,-y+1/2,z'
loop_
_atom_site_label
_atom_site_fract_x
_atom_site_fract_y
_atom_site_fract_z
K1 0.227 0.250 0.431
Na1 0.284 0.250 0.951
Be1 0.276 0.750 0.186
Cl1 0.088 0.750 0.944
Cl2 0.093 0.750 0.344
Cl3 0.477 0.514 0.230
```

***

[3]
Material: KNaBe2Cl6
Method: DFT, PBE
State: relaxed

D(E_F) (states/eV per atom): 0.00

```
data_KNaBe2Cl6
_cell_length_a 12.641
_cell_length_b 12.106
_cell_length_c 6.595
_cell_angle_alpha 90.00
_cell_angle_beta 104.01
_cell_angle_gamma 90.00
_space_group_name_H-M_alt 'C 1 2/c 1'
_space_group_IT_number 15
loop_
_space_group_symop_operation_xyz
'x,y,z'
'-x,-y,-z'
'-x,y,-z+1/2'
'x,-y,z+1/2'
'x+1/2,y+1/2,z'
'-x+1/2,-y+1/2,-z'
'-x+1/2,y+1/2,-z+1/2'
'x+1/2,-y+1/2,z+1/2'
loop_
_atom_site_label
_atom_site_fract_x
_atom_site_fract_y
_atom_site_fract_z
K1 0.000 0.183 0.250
Na1 0.000 0.396 0.750
Be1 0.217 0.085 0.768
Cl1 0.121 0.418 0.162
Cl2 0.152 0.026 0.017
Cl3 0.152 0.232 0.691
```

***

[4]
Material: KBeP2Cl
Method: DFT, PBE
State: relaxed

Energy above the most stable polymorph in this dataset (meV per atom): 1674.6

```
data_KBeP2Cl
_cell_length_a 7.106
_cell_length_b 7.106
_cell_length_c 5.707
_cell_angle_alpha 90.00
_cell_angle_beta 90.00
_cell_angle_gamma 90.00
_space_group_name_H-M_alt 'P 4/m m m'
_space_group_IT_number 123
_space_group_name_Hall '-P 4 2'
loop_
_atom_site_label
_atom_site_fract_x
_atom_site_fract_y
_atom_site_fract_z
K1 0.000 0.000 0.000
Be1 0.500 0.500 0.500
P1 0.000 0.500 0.000
Cl1 0.000 0.000 0.500
```

***

[5]
Material: KBeP2Cl
Method: DFT, PBE
State: relaxed

Energy above the most stable polymorph in this dataset (meV per atom): 0.0
D(E_F) (states/eV per atom): 0.15

```
data_KBeP2Cl
_cell_length_a 4.152
_cell_length_b 4.152
_cell_length_c 7.898
_cell_angle_alpha 90.00
_cell_angle_beta 90.00
_cell_angle_gamma 90.00
_space_group_name_H-M_alt 'P 4/m m m'
_space_group_IT_number 123
_space_group_name_Hall '-P 4 2'
loop_
_atom_site_label
_atom_site_fract_x
_atom_site_fract_y
_atom_site_fract_z
K1 0.000 0.000 0.000
Be1 0.500 0.500 0.500
P1 0.000 0.500 0.500
Cl1 0.500 0.500 0.000
```

***

[6]
Material: KBePCl2
Method: DFT, PBE
State: relaxed

Energy above the most stable polymorph in this dataset (meV per atom): 1375.0
D(E_F) (states/eV per atom): 0.69

```
data_KBePCl2
_cell_length_a 5.790
_cell_length_b 5.790
_cell_length_c 6.123
_cell_angle_alpha 90.00
_cell_angle_beta 90.00
_cell_angle_gamma 90.00
_space_group_name_H-M_alt 'P 4/m m m'
_space_group_IT_number 123
_space_group_name_Hall '-P 4 2'
loop_
_atom_site_label
_atom_site_fract_x
_atom_site_fract_y
_atom_site_fract_z
K1 0.000 0.000 0.000
Be1 0.500 0.500 0.500
P1 0.000 0.000 0.500
Cl1 0.000 0.500 0.000
```

***

[7]
Material: KBePCl2
Method: DFT, PBE
State: relaxed

Energy above the most stable polymorph in this dataset (meV per atom): 0.0
D(E_F) (states/eV per atom): 0.19

```
data_KBePCl2
_cell_length_a 5.171
_cell_length_b 5.171
_cell_length_c 4.274
_cell_angle_alpha 90.00
_cell_angle_beta 90.00
_cell_angle_gamma 90.00
_space_group_name_H-M_alt 'P 4/m m m'
_space_group_IT_number 123
_space_group_name_Hall '-P 4 2'
loop_
_atom_site_label
_atom_site_fract_x
_atom_site_fract_y
_atom_site_fract_z
K1 0.000 0.000 0.000
Be1 0.500 0.500 0.500
P1 0.500 0.500 0.000
Cl1 0.000 0.500 0.500
```

***

[8]
Material: KPuBe2Cl8
Method: DFT, PBE
State: relaxed

D(E_F) (states/eV per atom): 0.71

```
data_KPuBe2Cl8
_cell_length_a 6.2075
_cell_length_b 6.2075
_cell_length_c 29.6688
_cell_angle_alpha 90.00
_cell_angle_beta 90.00
_cell_angle_gamma 120.00
_space_group_name_H-M_alt 'R -3'
_space_group_IT_number 148
_space_group_name_Hall '-R 3'
loop_
_atom_site_label
_atom_site_fract_x
_atom_site_fract_y
_atom_site_fract_z
K1 0.0000 0.0000 0.0000
Pu1 0.0000 0.0000 0.5000
Be1 0.0000 0.0000 0.2486
Cl1 0.0000 0.0000 0.3141
Cl2 0.0053 0.3143 0.7764
```

***

[9]
Material: KRbBe2Cl6
Method: DFT, PBE
State: relaxed

D(E_F) (states/eV per atom): 0.00

```
data_KRbBe2Cl6
_cell_length_a 12.627
_cell_length_b 12.563
_cell_length_c 8.755
_cell_angle_alpha 90.00
_cell_angle_beta 111.65
_cell_angle_gamma 90.00
_space_group_name_H-M_alt 'C 1 2/c 1'
_space_group_IT_number 15
loop_
_space_group_symop_operation_xyz
'x,y,z'
'-x,-y,-z'
'-x,y,-z+1/2'
'x,-y,z+1/2'
'x+1/2,y+1/2,z'
'-x+1/2,-y+1/2,-z'
'-x+1/2,y+1/2,-z+1/2'
'x+1/2,-y+1/2,z+1/2'
loop_
_atom_site_label
_atom_site_fract_x
_atom_site_fract_y
_atom_site_fract_z
K1 0.000 0.096 0.250
Rb1 0.000 0.355 0.750
Be1 0.237 0.389 0.192
Cl1 0.109 0.113 0.648
Cl2 0.151 0.259 0.135
Cl3 0.175 0.482 0.575
```

***

[10]
Material: KBeSCl2
Method: DFT, PBE
State: relaxed

Energy above the most stable polymorph in this dataset (meV per atom): 1553.3
D(E_F) (states/eV per atom): 1.00

```
data_KBeSCl2
_cell_length_a 5.784
_cell_length_b 5.784
_cell_length_c 5.747
_cell_angle_alpha 90.00
_cell_angle_beta 90.00
_cell_angle_gamma 90.00
_space_group_name_H-M_alt 'P 4/m m m'
_space_group_IT_number 123
_space_group_name_Hall '-P 4 2'
loop_
_atom_site_label
_atom_site_fract_x
_atom_site_fract_y
_atom_site_fract_z
K1 0.000 0.000 0.000
Be1 0.500 0.500 0.500
S1 0.000 0.000 0.500
Cl1 0.000 0.500 0.000
```

***

Values for formation energy from raw total energies, eV per atom, ordered as above
-1.30 -1.72 -1.61 1.50 -0.18 0.81 -0.57 -1.65 -1.66 0.67